[1]
! BaNiSe PBE relaxed; values from VASP
! Energy relative to the elements, uncorrected ... -0.720 eV/atom
&SYSTEM
  ibrav = 0, nat = 12, ntyp = 3
/
ATOMIC_SPECIES
Ni 58.69 Ni.upf
Ba 137.33 Ba.upf
Se 78.96 Se.upf
ATOMIC_POSITIONS angstrom
Ni -4.352 1.229 3.351
Ni 1.571 -0.100 6.404
Ni -3.307 1.162 7.621
Ni -9.230 2.491 4.569
Ba -5.069 -1.673 3.482
Ba -6.106 0.342 8.296
Ba -2.591 4.064 7.490
Ba -1.553 2.050 2.677
Se 0.000 0.000 0.000
Se -3.830 1.196 5.486
Se -4.878 1.262 1.217
Se 1.048 -0.066 4.269
CELL_PARAMETERS angstrom
-8.393 -2.461 2.022
2.096 -0.133 8.538
-1.362 4.985 0.412


[2]
! ZnCu2HW PBE relaxed; values from VASP
! Uncorrected energy ... -3.22 eV/atom
&SYSTEM
  ibrav = 0, nat = 5, ntyp = 4
/
ATOMIC_SPECIES
H 1.01 H.upf
Zn 65.41 Zn.upf
Cu 63.55 Cu.upf
W 183.84 W.upf
ATOMIC_POSITIONS angstrom
H 2.379 2.567 2.379
Zn 0.000 2.567 0.000
Cu 0.000 0.000 2.379
Cu 2.379 0.000 0.000
W 0.000 0.000 0.000
CELL_PARAMETERS angstrom
4.758 0.000 0.000
0.000 5.135 0.000
0.000 0.000 4.758


[3]
! PaAlFeOs PBE relaxed; values from VASP
! Energy of formation ... -0.9 eV/f.u.
&SYSTEM
  ibrav = 0, nat = 4, ntyp = 4
/
ATOMIC_SPECIES
Pa 231.04 Pa.upf
Os 190.23 Os.upf
Fe 55.84 Fe.upf
Al 26.98 Al.upf
ATOMIC_POSITIONS angstrom
Pa 4.563 2.634 1.863
Os 6.844 3.951 2.794
Fe 2.281 1.317 0.931
Al 0.000 0.000 0.000
CELL_PARAMETERS angstrom
4.563 0.000 0.000
2.281 3.951 0.000
2.281 1.317 3.725


[4]
! La3AlAg3 PBE relaxed; values from VASP
! Energy of formation ... -2.0 eV/f.u.
&SYSTEM
  ibrav = 0, nat = 14, ntyp = 3
/
ATOMIC_SPECIES
La 138.91 La.upf
Al 26.98 Al.upf
Ag 107.87 Ag.upf
ATOMIC_POSITIONS angstrom
La 3.105 1.792 9.802
La 3.591 3.777 6.572
La 1.703 1.518 3.902
La 4.993 4.051 12.471
La 2.420 1.554 14.351
La 4.277 4.015 2.022
Al 3.591 0.511 6.577
Al 3.106 5.058 9.797
Ag 5.492 4.127 9.164
Ag 1.205 1.442 7.210
Ag 2.394 4.743 14.518
Ag 4.302 0.826 1.856
Ag 6.163 4.753 4.709
Ag 0.534 0.816 11.665
CELL_PARAMETERS angstrom
4.480 0.000 0.675
2.212 5.595 0.524
0.005 -0.026 15.175


Calculated DOS(E_F) in order - 0.0; 4.4; 3.2; 16.0 states/eV/cell
Calculated magnetic moment in order - 0.00; 0.84; 0.45; 0.00 Bohr magnetons per cell